(1)
First-principles (PBE) data for an optimized crystal structure of AcLa12In3, as listed in Alexandria via LeMat-Bulk.

Summary:
For the calculated formation energy, the calculation gives -0.214 eV per atom. The calculation puts the calculated volume at 33.85 Å³/atom. As for the density of states at the Fermi level: 1.51 states/eV/atom. The crystal system is tetragonal. For the electronic total energy, the calculation gives -74.88 eV/f.u.

a b c (Å): 5.118 5.118 20.676
angles (deg): 90.00 90.00 90.00
Positions (direct):
Ac 0.000 0.000 0.000
La 0.000 0.500 0.134
La 0.000 0.500 0.378
La 0.000 0.500 0.622
La 0.000 0.500 0.866
La 0.500 0.000 0.134
La 0.500 0.000 0.378
La 0.500 0.000 0.622
La 0.500 0.000 0.866
La 0.500 0.500 0.000
La 0.500 0.500 0.258
La 0.500 0.500 0.500
La 0.500 0.500 0.742
In 0.000 0.000 0.256
In 0.000 0.000 0.500
In 0.000 0.000 0.744

***

(2)
First-principles (PBE) data for an optimized crystal structure of BaHoTlGa, as listed in Alexandria via LeMat-Bulk.

Summary:
For the calculated formation energy, the calculation gives -0.240 eV per atom. The calculation puts the calculated volume at 30.71 Å³/atom. As for the density of states at the Fermi level: 1.03 states/eV/atom. The crystal system is cubic. For the electronic total energy, the calculation gives -12.85 eV/f.u.

a b c (Å): 5.580 5.580 5.580
angles (deg): 60.00 60.00 60.00
Positions (direct):
Ba 0.000 0.000 0.000
Ho 0.500 0.500 0.500
Tl 0.250 0.250 0.250
Ga 0.750 0.750 0.750

***

(3)
First-principles (PBE) data for an optimized crystal structure of LaSm8, as listed in Alexandria via LeMat-Bulk.

Summary:
For the calculated formation energy, the calculation gives 0.017 eV per atom. The calculation puts the calculated volume at 34.25 Å³/atom. As for the density of states at the Fermi level: 1.58 states/eV/atom. The crystal system is tetragonal. For the electronic total energy, the calculation gives -42.53 eV/f.u.

a b c (Å): 8.150 8.150 8.150
angles (deg): 95.74 95.74 143.12
Positions (direct):
La 0.000 0.000 0.000
Sm 0.000 0.334 0.334
Sm 0.000 0.666 0.666
Sm 0.332 0.332 0.664
Sm 0.332 0.668 0.000
Sm 0.334 0.000 0.334
Sm 0.666 0.000 0.666
Sm 0.668 0.332 0.000
Sm 0.668 0.668 0.336

***

(4)
First-principles (PBE) data for an optimized crystal structure of BeInW2, as listed in Alexandria via LeMat-Bulk.

Summary:
For the calculated formation energy, the calculation gives 0.425 eV per atom. The calculation puts the calculated volume at 16.22 Å³/atom. As for the density of states at the Fermi level: 0.40 states/eV/atom. The crystal system is monoclinic. For the energy above the most stable polymorph in this dataset, the calculation gives 76.4 meV/atom. For the electronic total energy, the calculation gives -30.67 eV/f.u.

a b c (Å): 2.813 4.205 5.563
angles (deg): 90.00 99.71 90.00
Positions (direct):
Be 0.000 0.000 0.000
In 0.000 0.500 0.291
W 0.377 0.500 0.822
W 0.580 0.000 0.582

***

(5)
First-principles (PBE) data for an optimized crystal structure of Ti3Ga3Au2, as listed in Alexandria via LeMat-Bulk.

Summary:
For the calculated formation energy, the calculation gives -0.386 eV per atom. The calculation puts the calculated volume at 16.54 Å³/atom. As for the density of states at the Fermi level: 0.56 states/eV/atom. The crystal system is orthorhombic. For the electronic total energy, the calculation gives -42.41 eV/f.u.

a b c (Å): 8.881 8.881 8.881
angles (deg): 155.76 152.55 36.94
Positions (direct):
Ti 0.000 0.000 0.000
Ti 0.127 0.627 0.500
Ti 0.873 0.373 0.500
Ga 0.385 0.885 0.500
Ga 0.500 0.500 0.000
Ga 0.615 0.115 0.500
Au 0.267 0.267 0.000
Au 0.733 0.733 0.000

***

(6)
First-principles (PBE) data for an optimized crystal structure of Th4TeH3Rh12, as listed in Alexandria via LeMat-Bulk.

Summary:
The calculation puts the calculated volume at 15.97 Å³/atom. As for the density of states at the Fermi level: 0.82 states/eV/atom. The crystal system is cubic. For the electronic total energy, the calculation gives -143.71 eV/f.u.

a b c (Å): 7.458 7.458 7.458
angles (deg): 109.47 109.47 109.47
Positions (direct):
Th 0.000 0.000 0.500
Th 0.000 0.500 0.000
Th 0.500 0.000 0.000
Th 0.500 0.500 0.500
Te 0.000 0.000 0.000
H 0.000 0.500 0.500
H 0.500 0.000 0.500
H 0.500 0.500 0.000
Rh 0.000 0.290 0.290
Rh 0.000 0.710 0.710
Rh 0.250 0.500 0.750
Rh 0.250 0.750 0.500
Rh 0.290 0.000 0.290
Rh 0.290 0.290 0.000
Rh 0.500 0.250 0.750
Rh 0.500 0.750 0.250
Rh 0.710 0.000 0.710
Rh 0.710 0.710 0.000
Rh 0.750 0.250 0.500
Rh 0.750 0.500 0.250

***

(7)
First-principles (PBE) data for an optimized crystal structure of Dy12CoPb6, as listed in Alexandria via LeMat-Bulk.

Summary:
For the calculated formation energy, the calculation gives -0.238 eV per atom. The calculation puts the calculated volume at 31.82 Å³/atom. As for the density of states at the Fermi level: 0.99 states/eV/atom. The crystal system is trigonal. For the electronic total energy, the calculation gives -89.09 eV/f.u.

a b c (Å): 8.579 8.579 8.579
angles (deg): 99.11 99.11 99.11
Positions (direct):
Dy 0.004 0.049 0.308
Dy 0.049 0.308 0.004
Dy 0.202 0.547 0.418
Dy 0.308 0.004 0.049
Dy 0.418 0.202 0.547
Dy 0.453 0.582 0.798
Dy 0.547 0.418 0.202
Dy 0.582 0.798 0.453
Dy 0.692 0.996 0.951
Dy 0.798 0.453 0.582
Dy 0.951 0.692 0.996
Dy 0.996 0.951 0.692
Co 0.000 0.000 0.000
Pb 0.119 0.321 0.658
Pb 0.321 0.658 0.119
Pb 0.342 0.881 0.679
Pb 0.658 0.119 0.321
Pb 0.679 0.342 0.881
Pb 0.881 0.679 0.342

***

(8)
First-principles (PBE) data for an optimized crystal structure of Te2RuPb, as listed in Alexandria via LeMat-Bulk.

Summary:
The calculation puts the calculated volume at 24.17 Å³/atom. As for the density of states at the Fermi level: 1.30 states/eV/atom. The crystal system is tetragonal. For the electronic total energy, the calculation gives -17.28 eV/f.u. Its formation energy from raw total energies is 11.4 kcal/mol of atoms.

a b c (Å): 5.273 5.273 3.477
angles (deg): 90.00 90.00 90.00
Positions (direct):
Te 0.000 0.500 0.000
Te 0.500 0.000 0.000
Ru 0.000 0.000 0.500
Pb 0.500 0.500 0.500

***

(9)
First-principles (PBE) data for an optimized crystal structure of La2BeCl, as listed in Alexandria via LeMat-Bulk.

Summary:
The calculation puts the calculated volume at 26.96 Å³/atom. As for the density of states at the Fermi level: 0.69 states/eV/atom. The crystal system is monoclinic. For the energy above the most stable polymorph in this dataset, the calculation gives 38.3 meV/atom. For the electronic total energy, the calculation gives -18.02 eV/f.u. Its formation energy from raw total energies is -15.0 kcal/mol of atoms.

a b c (Å): 3.599 3.607 8.307
angles (deg): 90.00 90.07 90.00
Positions (direct):
La 0.000 0.000 0.208
La 0.000 0.000 0.792
Be 0.500 0.500 0.000
Cl 0.000 0.500 0.500

***

(10)
First-principles (PBE) data for an optimized crystal structure of DyErInRh, as listed in Alexandria via LeMat-Bulk.

Summary:
For the calculated formation energy, the calculation gives -0.694 eV per atom. The calculation puts the calculated volume at 23.14 Å³/atom. As for the density of states at the Fermi level: 0.34 states/eV/atom. The crystal system is tetragonal. For the energy above the most stable polymorph in this dataset, the calculation gives 0.0 meV/atom. For the electronic total energy, the calculation gives -22.03 eV/f.u.

a b c (Å): 3.514 3.514 7.498
angles (deg): 90.00 90.00 90.00
Positions (direct):
Dy 0.000 0.000 0.000
Er 0.000 0.000 0.566
In 0.500 0.500 0.286
Rh 0.500 0.500 0.778

***

(11)
First-principles (PBE) data for an optimized crystal structure of SrPt2Br, as listed in Alexandria via LeMat-Bulk.

Summary:
The calculation puts the calculated volume at 21.72 Å³/atom. As for the density of states at the Fermi level: 0.99 states/eV/atom. The crystal system is orthorhombic. For the energy above the most stable polymorph in this dataset, the calculation gives 851.5 meV/atom. For the electronic total energy, the calculation gives -14.81 eV/f.u. Its formation energy from raw total energies is 3.6 kcal/mol of atoms.

a b c (Å): 3.278 3.278 8.086
angles (deg): 90.00 90.00 90.13
Positions (direct):
Sr 0.000 0.000 0.000
Pt 0.500 0.500 0.268
Pt 0.500 0.500 0.732
Br 0.000 0.000 0.500

***

(12)
First-principles (PBE) data for an optimized crystal structure of HRu2N, as listed in Alexandria via LeMat-Bulk.

Summary:
The calculation puts the calculated volume at 9.35 Å³/atom. As for the density of states at the Fermi level: 0.79 states/eV/atom. The crystal system is cubic. For the energy above the most stable polymorph in this dataset, the calculation gives 687.3 meV/atom. For the electronic total energy, the calculation gives -26.36 eV/f.u.

a b c (Å): 3.753 3.753 3.753
angles (deg): 60.00 60.00 60.00
Positions (direct):
H 0.000 0.000 0.000
Ru 0.250 0.250 0.250
Ru 0.750 0.750 0.750
N 0.500 0.500 0.500

***

(13)
First-principles (PBE) data for an optimized crystal structure of BaHf2ReRh, as listed in Alexandria via LeMat-Bulk.

Summary:
For the calculated formation energy, the calculation gives 0.680 eV per atom. The calculation puts the calculated volume at 25.40 Å³/atom. As for the density of states at the Fermi level: 0.55 states/eV/atom. The crystal system is tetragonal. For the electronic total energy, the calculation gives -38.23 eV/f.u.

a b c (Å): 5.045 5.045 4.989
angles (deg): 90.00 90.00 90.00
Positions (direct):
Ba 0.000 0.000 0.000
Hf 0.000 0.500 0.500
Hf 0.500 0.000 0.500
Re 0.500 0.500 0.000
Rh 0.500 0.500 0.500

***

(14)
First-principles (PBE) data for an optimized crystal structure of BeNiHg4, as listed in Alexandria via LeMat-Bulk.

Summary:
For the calculated formation energy, the calculation gives 0.894 eV per atom. The calculation puts the calculated volume at 21.65 Å³/atom. As for the density of states at the Fermi level: 0.70 states/eV/atom. The crystal system is cubic. For the electronic total energy, the calculation gives -5.35 eV/f.u.

a b c (Å): 5.684 5.684 5.684
angles (deg): 60.00 60.00 60.00
Positions (direct):
Be 0.000 0.000 0.000
Ni 0.250 0.250 0.250
Hg 0.126 0.625 0.625
Hg 0.625 0.126 0.625
Hg 0.625 0.625 0.126
Hg 0.625 0.625 0.625

***

(15)
First-principles (PBE) data for an optimized crystal structure of AcTiSeO2, as listed in Alexandria via LeMat-Bulk.

Summary:
The calculation puts the calculated volume at 19.58 Å³/atom. As for the density of states at the Fermi level: 0.68 states/eV/atom. The crystal system is tetragonal. For the electronic total energy, the calculation gives -38.30 eV/f.u. Its formation energy from raw total energies is -59.5 kcal/mol of atoms.

a b c (Å): 4.020 4.020 6.056
angles (deg): 90.00 90.00 90.00
Positions (direct):
Ac 0.000 0.000 0.000
Ti 0.500 0.500 0.331
Se 0.500 0.500 0.752
O 0.000 0.500 0.254
O 0.500 0.000 0.254

***

(16)
First-principles (PBE) data for an optimized crystal structure of NaHf2HPb, as listed in Alexandria via LeMat-Bulk.

Summary:
The calculation puts the calculated volume at 26.49 Å³/atom. As for the density of states at the Fermi level: 0.56 states/eV/atom. The crystal system is tetragonal. For the electronic total energy, the calculation gives -18.43 eV/f.u.

a b c (Å): 5.131 5.131 5.030
angles (deg): 90.00 90.00 90.00
Positions (direct):
Na 0.000 0.000 0.000
Hf 0.000 0.500 0.000
Hf 0.500 0.000 0.000
H 0.500 0.500 0.500
Pb 0.000 0.000 0.500

***

(17)
First-principles (PBE) data for an optimized crystal structure of HAuSe3, as listed in Alexandria via LeMat-Bulk.

Summary:
The calculation puts the calculated volume at 17.00 Å³/atom. As for the density of states at the Fermi level: 0.62 states/eV/atom. The crystal system is cubic. For the energy above the most stable polymorph in this dataset, the calculation gives 0.0 meV/atom. For the electronic total energy, the calculation gives -12.86 eV/f.u.

a b c (Å): 4.397 4.397 4.397
angles (deg): 90.00 90.00 90.00
Positions (direct):
H 0.000 0.000 0.000
Au 0.500 0.500 0.500
Se 0.000 0.000 0.500
Se 0.000 0.500 0.000
Se 0.500 0.000 0.000

***

(18)
First-principles (PBE) data for an optimized crystal structure of NpHgH, as listed in Alexandria via LeMat-Bulk.

Summary:
The calculation puts the calculated volume at 16.75 Å³/atom. As for the density of states at the Fermi level: 1.42 states/eV/atom. The crystal system is trigonal. For the electronic total energy, the calculation gives -16.14 eV/f.u.

a b c (Å): 3.166 3.166 5.789
angles (deg): 90.00 90.00 120.00
Positions (direct):
Np 0.000 0.000 0.000
Hg 0.333 0.667 0.518
H 0.667 0.333 0.200

***

(19)
First-principles (PBE) data for an optimized crystal structure of CaNb2H, as listed in Alexandria via LeMat-Bulk.

Summary:
The calculation puts the calculated volume at 19.28 Å³/atom. As for the density of states at the Fermi level: 0.66 states/eV/atom. The crystal system is triclinic. For the energy above the most stable polymorph in this dataset, the calculation gives 72.4 meV/atom. For the electronic total energy, the calculation gives -24.95 eV/f.u.

a b c (Å): 4.321 5.914 6.386
angles (deg): 87.80 71.11 89.98
Positions (direct):
Ca 0.000 0.000 0.000
Ca 0.454 0.525 0.128
Nb 0.157 0.524 0.690
Nb 0.270 0.014 0.452
Nb 0.687 0.251 0.613
Nb 0.718 0.766 0.560
H 0.017 0.594 0.998
H 0.132 0.338 0.439

***

(20)
First-principles (PBE) data for an optimized crystal structure of ZrCuSn2, as listed in Alexandria via LeMat-Bulk.

Summary:
For the calculated formation energy, the calculation gives -0.323 eV per atom. The calculation puts the calculated volume at 20.46 Å³/atom. As for the density of states at the Fermi level: 0.54 states/eV/atom. The crystal system is tetragonal. For the electronic total energy, the calculation gives -21.94 eV/f.u.

a b c (Å): 4.187 4.187 9.336
angles (deg): 90.00 90.00 90.00
Positions (direct):
Zr 0.250 0.250 0.249
Zr 0.750 0.750 0.751
Cu 0.250 0.750 0.000
Cu 0.750 0.250 0.000
Sn 0.250 0.250 0.825
Sn 0.250 0.750 0.500
Sn 0.750 0.250 0.500
Sn 0.750 0.750 0.175